(1)
Entry from Alexandria via LeMat-Bulk: crystalline La2HfRh2 at its relaxed geometry (PBE).

Geometry as POSCAR:
```
La2HfRh2
1.0
-6.0337 -0.9017 -3.9033
1.0379 -7.1676 0.0515
-2.4236 -0.3235 3.8210
Rh La Hf
4 4 2
direct
0.3509 0.8509 0.0000
0.8509 0.6491 0.0000
0.6491 0.1491 0.0000
0.1491 0.3509 0.0000
0.1649 0.6649 0.5000
0.6649 0.8351 0.5000
0.3351 0.1649 0.5000
0.8351 0.3351 0.5000
0.5000 0.5000 0.0000
0.0000 0.0000 0.0000
```

Results
space group = No. 127
energy of formation = -0.561 eV/atom
density of states at the Fermi level = 2.6 states/eV/f.u.

***

(2)
Entry from Alexandria via LeMat-Bulk: crystalline La2HfSnRh at its relaxed geometry (PBE).

Geometry as POSCAR:
```
La2HfSnRh
1.0
-0.7506 0.5520 -5.8378
-5.1167 -0.8954 0.5732
-0.9396 5.7980 0.6691
Hf Sn La Rh
1 1 2 1
direct
0.0000 0.5000 0.0000
0.0000 0.0000 0.0000
0.5000 0.0000 0.0000
0.0000 0.0000 0.5000
0.5000 0.5000 0.5000
```

Results
space group = No. 123
energy of formation = 0.850 eV/atom
density of states at the Fermi level = 10.0 states/eV/f.u.